First-principles (PBE) data for crystalline VRhAu2 at its relaxed geometry, as listed in Alexandria.

## Properties
DFT formation energy, eV per atom: 0.393
Uncorrected energy, eV/atom: -5.3632
D(E_F), states/eV per cell: 8.1

```
8
Lattice="-3.577 6.363 0.732 -6.404 -3.551 -0.427 -4.997 1.101 2.771" Properties=species:S:1:pos:R:3 pbc="T T T"
Au -4.256 3.756 1.091
Au -5.728 -1.097 0.523
Au -7.543 1.851 2.189
Au -12.429 3.315 2.348
Rh 0.000 0.000 0.000
Rh -6.782 4.435 1.828
V -4.991 1.406 0.152
V -8.196 -0.522 1.248
```